1.
Density functional theory data (PBE) for an optimized crystal structure of ScTcSe.

Results
* calculated density: 6191 kg/m3
* total moment: 0.09 μB per formula unit
* N(E_F): 3.1 states/eV/f.u.
* V: 60 Å³ per cell
* space-group type: F-43m

```
data_ScTcSe
_chemical_formula_sum 'Sc1 Tc1 Se1'
_cell_length_a 4.383
_cell_length_b 4.383
_cell_length_c 4.383
_cell_angle_alpha 60.00
_cell_angle_beta 60.00
_cell_angle_gamma 60.00
_space_group_name_H-M_alt 'P 1'
_space_group_IT_number 1
loop_
_space_group_symop_operation_xyz
'x,y,z'
loop_
_atom_site_label
_atom_site_fract_x
_atom_site_fract_y
_atom_site_fract_z
_atom_site_occupancy
Sc1 0.750 0.750 0.750 1
Se1 0.000 0.000 0.000 1
Tc1 0.500 0.500 0.500 1
```



2.
Density functional theory data (PBE) for an optimized crystal structure of ScTcSe.

Results
* calculated density: 7002 kg/m3
* total moment: 0.00 μB per formula unit
* N(E_F): 3.5 states/eV/f.u.
* V: 53 Å³ per cell
* space-group type: P-6m2

```
data_ScTcSe
_chemical_formula_sum 'Sc1 Tc1 Se1'
_cell_length_a 4.291
_cell_length_b 4.291
_cell_length_c 3.301
_cell_angle_alpha 90.00
_cell_angle_beta 90.00
_cell_angle_gamma 120.00
_space_group_name_H-M_alt 'P 1'
_space_group_IT_number 1
loop_
_space_group_symop_operation_xyz
'x,y,z'
loop_
_atom_site_label
_atom_site_fract_x
_atom_site_fract_y
_atom_site_fract_z
_atom_site_occupancy
Sc1 0.000 0.000 0.000 1
Se1 0.333 0.667 0.500 1
Tc1 0.667 0.333 0.500 1
```



3.
Density functional theory data (PBE) for an optimized crystal structure of ScTcSe.

Results
* calculated density: 6583 kg/m3
* total moment: 0.00 μB per formula unit
* N(E_F): 3.3 states/eV/f.u.
* V: 56 Å³ per cell
* space-group type: P3m1

```
data_ScTcSe
_chemical_formula_sum 'Sc1 Tc1 Se1'
_cell_length_a 3.378
_cell_length_b 3.378
_cell_length_c 5.663
_cell_angle_alpha 90.00
_cell_angle_beta 90.00
_cell_angle_gamma 120.00
_space_group_name_H-M_alt 'P 1'
_space_group_IT_number 1
loop_
_space_group_symop_operation_xyz
'x,y,z'
loop_
_atom_site_label
_atom_site_fract_x
_atom_site_fract_y
_atom_site_fract_z
_atom_site_occupancy
Sc1 0.000 0.000 0.002 1
Se1 0.667 0.333 0.354 1
Tc1 0.333 0.667 0.644 1
```



4.
Density functional theory data (PBE) for an optimized crystal structure of ScTcSe.

Results
* calculated density: 6928 kg/m3
* total moment: 0.00 μB per formula unit
* N(E_F): 0.9 states/eV/f.u.
* V: 53 Å³ per cell
* space-group type: I4mm

```
data_ScTcSe
_chemical_formula_sum 'Sc1 Tc1 Se1'
_cell_length_a 5.759
_cell_length_b 5.758
_cell_length_c 3.166
_cell_angle_alpha 74.05
_cell_angle_beta 74.03
_cell_angle_gamma 31.91
_space_group_name_H-M_alt 'P 1'
_space_group_IT_number 1
loop_
_space_group_symop_operation_xyz
'x,y,z'
loop_
_atom_site_label
_atom_site_fract_x
_atom_site_fract_y
_atom_site_fract_z
_atom_site_occupancy
Sc1 0.991 0.991 0.009 1
Se1 0.695 0.695 0.305 1
Tc1 0.314 0.314 0.686 1
```



Bottom line: 2, by a margin of 0.054 eV/atom.



1.
Density functional theory data (PBE) for an optimized crystal structure of ScTc3Se.

Results
* calculated density: 7360 kg/m3
* total moment: 0.00 μB per formula unit
* N(E_F): 6.7 states/eV/f.u.
* V: 94 Å³ per cell
* space-group type: Pm-3m

```
data_ScTc3Se
_chemical_formula_sum 'Sc1 Tc3 Se1'
_cell_length_a 4.552
_cell_length_b 4.552
_cell_length_c 4.552
_cell_angle_alpha 90.00
_cell_angle_beta 90.00
_cell_angle_gamma 90.00
_space_group_name_H-M_alt 'P 1'
_space_group_IT_number 1
loop_
_space_group_symop_operation_xyz
'x,y,z'
loop_
_atom_site_label
_atom_site_fract_x
_atom_site_fract_y
_atom_site_fract_z
_atom_site_occupancy
Sc1 0.500 0.500 0.500 1
Tc1 0.000 0.500 0.000 1
Tc2 0.000 0.000 0.500 1
Tc3 0.500 0.000 0.000 1
Se1 0.000 0.000 0.000 1
```



2.
Density functional theory data (PBE) for an optimized crystal structure of ScTc3Se.

Results
* calculated density: 6900 kg/m3
* total moment: 2.23 μB per formula unit
* N(E_F): 5.8 states/eV/f.u.
* V: 101 Å³ per cell
* space-group type: Pm-3m

```
data_ScTc3Se
_chemical_formula_sum 'Sc1 Tc3 Se1'
_cell_length_a 4.651
_cell_length_b 4.651
_cell_length_c 4.651
_cell_angle_alpha 90.00
_cell_angle_beta 90.00
_cell_angle_gamma 90.00
_space_group_name_H-M_alt 'P 1'
_space_group_IT_number 1
loop_
_space_group_symop_operation_xyz
'x,y,z'
loop_
_atom_site_label
_atom_site_fract_x
_atom_site_fract_y
_atom_site_fract_z
_atom_site_occupancy
Sc1 0.000 0.000 0.000 1
Tc1 0.000 0.500 0.000 1
Tc2 0.000 0.000 0.500 1
Tc3 0.500 0.000 0.000 1
Se1 0.500 0.500 0.500 1
```



Bottom line: 1, by a margin of 1.336 eV/atom.